A relaxed structure of TcPAu2, computed with PBE.

Lattice parameters (Å, degrees): 2.7282 4.1951 5.7395 90.00 90.00 90.00
Fractional positions:
Tc (0.5000, 0.5000, 0.5000)
Au (0.0000, 0.0000, 0.2521)
Au (0.0000, 0.0000, 0.7479)
P (0.5000, 0.5000, 0.0000)

Properties
Fermi-level density of states   3.44 states/eV/f.u.
Energy of formation   11.97 kcal/mol of atoms